Compound: VZnSnF6
Source: Alexandria via LeMat-Bulk
Functional: PBE with a Hubbard U
Structure: optimized geometry

## Properties
**Total magnetic moment**: 0.333 μB/atom
**Raw total energy**: -91.186 eV for the cell shown

a = 5.5224 Å, b = 5.5224 Å, c = 10.2264 Å
α = 90.00°, β = 90.00°, γ = 120.00°
Space group P-31c (No. 163)
Inequivalent atoms, fractional coordinates:
V1 0.3333 0.6667 0.2500 [2 per cell]
Zn1 0.3333 0.6667 0.7500 [2 per cell]
Sn1 0.0000 0.0000 0.0000 [2 per cell]
F1 0.0069 0.3602 0.6408 [12 per cell]